Here is a relaxed HoBi2Rh2 crystal from Alexandria via LeMat-Bulk. Energies are from PBE-GGA.

Unit cell a=4.704 b=4.780 c=10.134 alpha=90.00 beta=90.03 gamma=90.00
Element x y z (fractional)
Ho 0.249 0.250 0.172
Ho 0.751 0.750 0.828
Bi 0.249 0.250 0.834
Bi 0.251 0.250 0.501
Bi 0.749 0.750 0.499
Bi 0.751 0.750 0.166
Rh 0.249 0.750 0.326
Rh 0.254 0.750 0.994
Rh 0.746 0.250 0.006
Rh 0.751 0.250 0.674

SG: P2_1/m, No. 11
Energy of formation: -2.5 eV/f.u.
Size of the total moment: 0.0 μB per cell